Entry from Alexandria via LeMat-Bulk: a geometry-optimized MgScPaTc structure (PBE).

a = 4.8941 Å, b = 4.8941 Å, c = 4.8941 Å
α = 60.00°, β = 60.00°, γ = 60.00°
With the nearest neighbours (Å) after each atom.
Element x y z (fractional)
Mg  0.0000  0.0000  0.0000  4 Sc 3.00, 4 Pa 3.00
Sc  0.7500  0.7500  0.7500  4 Tc 3.00, 4 Mg 3.00
Pa  0.2500  0.2500  0.2500  4 Tc 3.00, 4 Mg 3.00
Tc  0.5000  0.5000  0.5000  4 Sc 3.00, 4 Pa 3.00

- Space-group type: F-43m, No. 216
- ΔE_f: 0.038 eV/atom
- Size of the total moment: 0.000 μB/atom